Record 1
Computed, not measured: a relaxed Zr5Zn4Mo crystal at the GGA-PBE level of DFT.

CIF file:
```
data_Zr5Zn4Mo
_symmetry_space_group_name_H-M 'P 1'
_symmetry_Int_Tables_number 1
_symmetry_space_group_name_Hall 'P 1'
_cell_length_a 3.392
_cell_length_b 3.392
_cell_length_c 16.343
_cell_angle_alpha 90.00
_cell_angle_beta 90.00
_cell_angle_gamma 90.00
loop_
_atom_site_label
_atom_site_type_symbol
_atom_site_fract_x
_atom_site_fract_y
_atom_site_fract_z
Zr1 Zr 0.000 0.000 0.000
Zr2 Zr 0.000 0.000 0.201
Zr3 Zr 0.000 0.000 0.404
Zr4 Zr 0.000 0.000 0.596
Zr5 Zr 0.000 0.000 0.799
Zn1 Zn 0.500 0.500 0.100
Zn2 Zn 0.500 0.500 0.301
Zn3 Zn 0.500 0.500 0.699
Zn4 Zn 0.500 0.500 0.900
Mo1 Mo 0.500 0.500 0.500
```

Record 2
Computed, not measured: a relaxed Nd6In2Ge crystal at the GGA-PBE level of DFT.

CIF file:
```
data_Nd6In2Ge
_symmetry_space_group_name_H-M 'P 1'
_symmetry_Int_Tables_number 1
_symmetry_space_group_name_Hall 'P 1'
_cell_length_a 8.869
_cell_length_b 8.869
_cell_length_c 4.054
_cell_angle_alpha 90.00
_cell_angle_beta 90.00
_cell_angle_gamma 120.00
loop_
_atom_site_label
_atom_site_type_symbol
_atom_site_fract_x
_atom_site_fract_y
_atom_site_fract_z
Nd1 Nd 0.000 0.259 0.000
Nd2 Nd 0.000 0.608 0.500
Nd3 Nd 0.259 0.000 0.000
Nd4 Nd 0.392 0.392 0.500
Nd5 Nd 0.608 0.000 0.500
Nd6 Nd 0.741 0.741 0.000
In1 In 0.333 0.667 0.000
In2 In 0.667 0.333 0.000
Ge1 Ge 0.000 0.000 0.500
```

Record 3
Computed, not measured: a relaxed TbDy3Er6Th2 crystal at the GGA-PBE level of DFT.

CIF file:
```
data_TbDy3Er6Th2
_symmetry_space_group_name_H-M 'P 1'
_symmetry_Int_Tables_number 1
_symmetry_space_group_name_Hall 'P 1'
_cell_length_a 6.128
_cell_length_b 6.128
_cell_length_c 11.670
_cell_angle_alpha 95.03
_cell_angle_beta 95.03
_cell_angle_gamma 119.96
loop_
_atom_site_label
_atom_site_type_symbol
_atom_site_fract_x
_atom_site_fract_y
_atom_site_fract_z
Tb1 Tb 0.000 0.000 0.000
Dy1 Dy 0.166 0.834 0.500
Dy2 Dy 0.500 0.500 0.500
Dy3 Dy 0.834 0.166 0.500
Er1 Er 0.083 0.420 0.248
Er2 Er 0.254 0.254 0.751
Er3 Er 0.420 0.083 0.248
Er4 Er 0.580 0.917 0.752
Er5 Er 0.746 0.746 0.249
Er6 Er 0.917 0.580 0.752
Th1 Th 0.333 0.667 0.000
Th2 Th 0.667 0.333 0.000
```

| no. | calculated formation energy (kJ/mol of formula units) |
| --- | --- |
| 1 | -232 |
| 2 | -361 |
| 3 | 27 |